# 1
Here is crystalline AgSbAs2 at its relaxed geometry from Alexandria. Energies are from GGA-PBEsol.

Geometry as CIF:
```
data_AgSbAs2
_cell_length_a 6.8595
_cell_length_b 6.8595
_cell_length_c 6.8595
_cell_angle_alpha 90.00
_cell_angle_beta 90.00
_cell_angle_gamma 90.00
_symmetry_space_group_name_H-M 'F m -3 m'
_symmetry_Int_Tables_number 225
_symmetry_space_group_name_Hall '-F 4 2 3'
loop_
_atom_site_label
_atom_site_type_symbol
_atom_site_fract_x
_atom_site_fract_y
_atom_site_fract_z
_atom_site_occupancy
Ag1 Ag 0.0000 0.0000 0.0000 1
Sb1 Sb 0.0000 0.0000 0.5000 1
As1 As 0.2500 0.2500 0.2500 1
```

Output
Formation energy without anion corrections = 0.332 eV/atom
Total magnetic moment = 0.00 μB/atom
Energy above the most stable polymorph in this dataset = 0.702 eV per formula unit

# 2
Here is crystalline AgSb2As at its relaxed geometry from Alexandria. Energies are from GGA-PBEsol.

Geometry as CIF:
```
data_AgSb2As
_cell_length_a 5.3286
_cell_length_b 5.3286
_cell_length_c 3.0847
_cell_angle_alpha 90.00
_cell_angle_beta 90.00
_cell_angle_gamma 90.00
_symmetry_space_group_name_H-M 'P 4/m m m'
_symmetry_Int_Tables_number 123
_symmetry_space_group_name_Hall '-P 4 2'
loop_
_atom_site_label
_atom_site_type_symbol
_atom_site_fract_x
_atom_site_fract_y
_atom_site_fract_z
_atom_site_occupancy
Ag1 Ag 0.0000 0.0000 0.0000 1
Sb1 Sb 0.0000 0.5000 0.5000 1
As1 As 0.5000 0.5000 0.0000 1
```

Output
Formation energy without anion corrections = 0.235 eV/atom
Total magnetic moment = 0.00 μB/atom
Energy above the most stable polymorph in this dataset = 0.122 eV per formula unit

# 3
Here is crystalline AgSbAs at its relaxed geometry from Alexandria. Energies are from GGA-PBEsol.

Geometry as CIF:
```
data_AgSbAs
_cell_length_a 6.6122
_cell_length_b 6.6122
_cell_length_c 6.6122
_cell_angle_alpha 90.00
_cell_angle_beta 90.00
_cell_angle_gamma 90.00
_symmetry_space_group_name_H-M 'F -4 3 m'
_symmetry_Int_Tables_number 216
_symmetry_space_group_name_Hall 'F -4 2 3'
loop_
_atom_site_label
_atom_site_type_symbol
_atom_site_fract_x
_atom_site_fract_y
_atom_site_fract_z
_atom_site_occupancy
Ag1 Ag 0.0000 0.0000 0.0000 1
Sb1 Sb 0.0000 0.0000 0.5000 1
As1 As 0.2500 0.2500 0.7500 1
```

Output
Formation energy without anion corrections = 0.294 eV/atom
Total magnetic moment = 0.00 μB/atom
Energy above the most stable polymorph in this dataset = 0.237 eV per formula unit

# 4
Here is crystalline Ag2SbAs2 at its relaxed geometry from Alexandria. Energies are from GGA-PBEsol.

Geometry as CIF:
```
data_Ag2SbAs2
_cell_length_a 4.3992
_cell_length_b 4.3992
_cell_length_c 10.7819
_cell_angle_alpha 90.00
_cell_angle_beta 90.00
_cell_angle_gamma 90.00
_symmetry_space_group_name_H-M 'I 4/m m m'
_symmetry_Int_Tables_number 139
_symmetry_space_group_name_Hall '-I 4 2'
loop_
_atom_site_label
_atom_site_type_symbol
_atom_site_fract_x
_atom_site_fract_y
_atom_site_fract_z
_atom_site_occupancy
Ag1 Ag 0.0000 0.5000 0.2500 1
Sb1 Sb 0.0000 0.0000 0.0000 1
As1 As 0.0000 0.0000 0.3876 1
```

Output
Formation energy without anion corrections = 0.288 eV/atom
Total magnetic moment = 0.00 μB/atom